No. 1
## PmSb2Pd2 (GGA-PBE)

Data for a geometry-optimized PmSb2Pd2 structure.

Cell lengths 4.570, 4.578, 10.882 Å; angles 90.08, 90.00, 90.00 degrees
Sites, in units of the cell vectors:
Sb  0.750  0.750  0.500
Sb  0.750  0.246  0.129
Sb  0.250  0.754  0.871
Pm  0.750  0.252  0.765
Pd  0.250  0.750  0.633
Pd  0.250  0.255  0.000
Pd  0.750  0.250  0.367
Sb  0.250  0.250  0.500
Pm  0.250  0.748  0.235
Pd  0.750  0.745  0.000

Output
Final energy   -5.470 eV/atom
Density   8.77 g cm⁻³
ΔE_f (raw)   -77 kJ per mole of atoms


No. 2
## Pm2SbPd6 (GGA-PBE)

Data for a geometry-optimized Pm2SbPd6 structure.

Cell lengths 6.009, 5.843, 5.843 Å; angles 60.00, 90.01, 90.01 degrees
Sites, in units of the cell vectors:
Pd  0.320  0.353  0.823
Pd  0.320  0.823  0.353
Pd  0.680  0.647  0.177
Pm  0.822  0.667  0.667
Pd  0.680  0.177  0.177
Sb  0.000  0.000  0.000
Pm  0.178  0.333  0.333
Pd  0.320  0.823  0.823
Pd  0.680  0.177  0.647

Output
Final energy   -5.719 eV/atom
Density   9.82 g cm⁻³
ΔE_f (raw)   -72 kJ per mole of atoms


No. 3
## PmSbPd2 (GGA-PBE)

Data for a geometry-optimized PmSbPd2 structure.

Cell lengths 4.885, 4.885, 4.885 Å; angles 60.00, 60.00, 60.00 degrees
Sites, in units of the cell vectors:
Pm  0.500  0.500  0.500
Pd  0.750  0.750  0.750
Pd  0.250  0.250  0.250
Sb  0.000  0.000  0.000

Output
Final energy   -5.635 eV/atom
Density   9.66 g cm⁻³
ΔE_f (raw)   -79 kJ per mole of atoms


No. 4
## PmSb3Pd5 (GGA-PBE)

Data for a geometry-optimized PmSb3Pd5 structure.

Cell lengths 4.111, 7.565, 12.867 Å; angles 90.00, 90.00, 105.77 degrees
Sites, in units of the cell vectors:
Pd  0.431  0.861  0.142
Sb  0.847  0.693  0.250
Sb  0.619  0.239  0.438
Pm  0.929  0.857  0.750
Sb  0.153  0.307  0.750
Pd  0.569  0.139  0.858
Pd  0.805  0.610  0.454
Sb  0.381  0.761  0.938
Pd  0.195  0.390  0.546
Pd  0.195  0.390  0.954
Pd  0.805  0.610  0.046
Sb  0.619  0.239  0.062
Pd  0.569  0.139  0.642
Pd  0.000  0.000  0.000
Pm  0.071  0.143  0.250
Pd  0.000  0.000  0.500
Pd  0.431  0.861  0.358
Sb  0.381  0.761  0.562

Output
Final energy   -5.369 eV/atom
Density   8.99 g cm⁻³
ΔE_f (raw)   -56 kJ per mole of atoms


No. 5
## PmSbPd2 (GGA-PBE)

Data for a geometry-optimized PmSbPd2 structure.

Cell lengths 3.708, 3.708, 6.274 Å; angles 90.00, 90.00, 90.00 degrees
Sites, in units of the cell vectors:
Pm  0.500  0.500  0.000
Pd  0.000  0.000  0.256
Sb  0.500  0.500  0.500
Pd  0.000  0.000  0.744

Output
Final energy   -5.411 eV/atom
Density   9.23 g cm⁻³
ΔE_f (raw)   -58 kJ per mole of atoms


No. 6
## Pm2SbPd (GGA-PBE)

Data for a geometry-optimized Pm2SbPd structure.

Cell lengths 3.936, 5.153, 5.153 Å; angles 90.00, 90.00, 90.00 degrees
Each line ends with the local moment (μB).
Sites, in units of the cell vectors:
Pm  0.000  0.500  0.000  0.10
Pd  0.500  0.000  0.000  0.03
Sb  0.500  0.500  0.500  -0.01
Pm  0.000  0.000  0.500  0.10

Output
Final energy   -5.505 eV/atom
Density   8.23 g cm⁻³
ΔE_f (raw)   -77 kJ per mole of atoms


No. 7
## PmSbPd (GGA-PBE)

Data for a geometry-optimized PmSbPd structure.

Cell lengths 4.136, 4.136, 5.295 Å; angles 112.99, 112.99, 90.00 degrees
Sites, in units of the cell vectors:
Sb  0.627  0.627  0.255
Pm  0.285  0.285  0.571
Pd  0.937  0.937  0.874

Output
Final energy   -5.342 eV/atom
Density   8.21 g cm⁻³
ΔE_f (raw)   -63 kJ per mole of atoms


No. 8
## Pm12SbPd6 (GGA-PBE)

Data for a geometry-optimized Pm12SbPd6 structure.

Cell lengths 8.633, 8.633, 8.633 Å; angles 100.67, 100.67, 100.67 degrees
Sites, in units of the cell vectors:
Pm  0.572  0.179  0.408
Pm  0.408  0.572  0.179
Pd  0.332  0.139  0.612
Sb  0.000  0.000  0.000
Pm  0.821  0.592  0.428
Pm  0.428  0.821  0.592
Pm  0.932  0.335  0.094
Pm  0.179  0.408  0.572
Pm  0.906  0.068  0.665
Pm  0.592  0.428  0.821
Pd  0.139  0.612  0.332
Pd  0.861  0.388  0.668
Pm  0.068  0.665  0.906
Pm  0.665  0.906  0.068
Pd  0.668  0.861  0.388
Pd  0.612  0.332  0.139
Pm  0.094  0.932  0.335
Pm  0.335  0.094  0.932
Pd  0.388  0.668  0.861

Output
Final energy   -5.312 eV/atom
Density   6.86 g cm⁻³
ΔE_f (raw)   -44 kJ per mole of atoms


No. 9
## PmSb2Pd7 (GGA-PBE)

Data for a geometry-optimized PmSb2Pd7 structure.

Cell lengths 4.629, 7.496, 7.496 Å; angles 120.05, 90.00, 90.00 degrees
Sites, in units of the cell vectors:
Pm  0.000  0.000  0.000
Pd  0.500  0.932  0.706
Pd  0.000  0.215  0.785
Pd  0.500  0.068  0.294
Pd  0.000  0.785  0.215
Sb  0.500  0.698  0.302
Pd  0.500  0.294  0.068
Pd  0.500  0.500  0.500
Sb  0.500  0.302  0.698
Pd  0.500  0.706  0.932

Output
Final energy   -5.238 eV/atom
Density   8.36 g cm⁻³
ΔE_f (raw)   -29 kJ per mole of atoms


No. 10
## Pm2SbPd6 (GGA-PBE)

Data for a geometry-optimized Pm2SbPd6 structure.

Cell lengths 5.863, 5.769, 6.271 Å; angles 78.89, 90.00, 120.54 degrees
Sites, in units of the cell vectors:
Pd  0.868  0.737  0.689
Pd  0.395  0.261  0.675
Pd  0.132  0.263  0.311
Pm  0.643  0.287  0.169
Pd  0.605  0.739  0.325
Pd  0.866  0.261  0.675
Pm  0.357  0.713  0.831
Sb  0.000  0.000  0.000
Pd  0.134  0.739  0.325

Output
Final energy   -5.713 eV/atom
Density   9.80 g cm⁻³
ΔE_f (raw)   -71 kJ per mole of atoms


No. 11
## PmSbPd (GGA-PBE)

Data for a geometry-optimized PmSbPd structure.

Cell lengths 4.748, 4.748, 4.748 Å; angles 60.00, 60.00, 60.00 degrees
Sites, in units of the cell vectors:
Pd  0.250  0.250  0.250
Sb  0.000  0.000  0.000
Pm  0.500  0.500  0.500

Output
Final energy   -5.798 eV/atom
Density   8.19 g cm⁻³
ΔE_f (raw)   -107 kJ per mole of atoms


No. 12
## PmScSbPd (GGA-PBE)

Data for a geometry-optimized PmScSbPd structure.

Cell lengths 5.093, 5.093, 5.093 Å; angles 60.00, 60.00, 60.00 degrees
Each line ends with the local moment (μB).
Sites, in units of the cell vectors:
Pd  0.750  0.750  0.750  0.06
Pm  0.500  0.500  0.500  0.18
Sc  0.000  0.000  0.000  0.37
Sb  0.250  0.250  0.250  -0.02

Output
Final energy   -5.828 eV/atom
Density   7.43 g cm⁻³
ΔE_f (raw)   -70 kJ per mole of atoms